# LaNdTh

A relaxed LaNdTh crystal (GGA-PBE, the Alexandria database).

Output
ΔE to the lowest computed polymorph: 0.4 kJ per mole of atoms
Fermi-level density of states: 1.703 states/eV/atom
calculated formation energy: 0.07 eV/f.u.

a b c (Å): 3.6422 3.6422 18.0687
angles (deg): 90.00 90.00 120.00
Last column: nearest neighbours and their distance in Å.
Positions (direct):
1 La 0.3333 0.6667 0.4162  9 La 3.64-3.69, 3 Nd 3.80
2 La 0.6667 0.3333 0.5838  9 La 3.64-3.69, 3 Nd 3.80
3 Nd 0.0000 0.0000 0.2408  3 Th 3.61, 6 Nd 3.64, 3 La 3.80
4 Nd 0.0000 0.0000 0.7592  3 Th 3.61, 6 Nd 3.64, 3 La 3.80
5 Th 0.3333 0.6667 0.9218  9 Th 3.52-3.64, 3 Nd 3.61
6 Th 0.6667 0.3333 0.0782  9 Th 3.52-3.64, 3 Nd 3.61